1.
2
Lattice="2.7763 0.0000 0.0000 0.0000 2.7763 0.0000 0.0000 0.0000 2.7763" Properties=species:S:1:pos:R:3 comment="PBE-GGA MnP, optimized geometry" space_group="No. 221" ef_ev_per_atom=-0.321 e_tot_ev_per_atom=-7.61 pbc="T T T"
Mn 0.0000 0.0000 0.0000
P 1.3882 1.3882 1.3882

2.
12
Lattice="6.2543 0.0000 0.0000 0.0000 6.2543 0.0000 0.0000 0.0000 6.2543" Properties=species:S:1:pos:R:3 comment="PBE-GGA MnP, optimized geometry" space_group="No. 223" ef_ev_per_atom=0.126 e_tot_ev_per_atom=-7.16 pbc="T T T"
Mn 0.0000 1.5636 3.1272
Mn 0.0000 4.6907 3.1272
Mn 1.5636 3.1272 0.0000
Mn 3.1272 0.0000 1.5636
Mn 3.1272 0.0000 4.6907
Mn 4.6907 3.1272 0.0000
P 0.0000 3.1272 1.5636
P 0.0000 3.1272 4.6907
P 1.5636 0.0000 3.1272
P 3.1272 1.5636 0.0000
P 3.1272 4.6907 0.0000
P 4.6907 0.0000 3.1272

Which formula does entry 2 have?
MnP

Which formula does entry 2 have?
MnP